Computed, not measured: Th3TcGe3 after structural relaxation at the GGA-PBE level of DFT.

Output
total DFT energy (no corrections) = -203.69 eV per cell
formation enthalpy at 0 K = -635 meV/atom
M_tot = 0.00 μB/atom
DOS at the Fermi energy = 1.061 states/eV/atom
ρ = 10.130 Mg/m³
energy above the most stable polymorph in this dataset = 0 meV/atom

Unit cell a=11.107 b=4.363 c=14.733 alpha=90.00 beta=111.67 gamma=90.00
Space group C2/m (No. 12)
Symmetry-distinct sites (fractional):
Th 0.026 0.000 0.381 (multiplicity 4)
Th 0.099 0.000 0.921 (multiplicity 4)
Th 0.245 0.000 0.230 (multiplicity 4)
Tc 0.238 0.500 0.415 (multiplicity 4)
Ge 0.043 0.500 0.242 (multiplicity 4)
Ge 0.123 0.500 0.075 (multiplicity 4)
Ge 0.140 0.500 0.548 (multiplicity 4)

---

Computed, not measured: Th2Tc3Ge4 after structural relaxation at the GGA-PBE level of DFT.

Output
total DFT energy (no corrections) = -273.21 eV per cell
formation enthalpy at 0 K = -433 meV/atom
M_tot = 0.00 μB/atom
DOS at the Fermi energy = 0.670 states/eV/atom
ρ = 10.244 Mg/m³

Unit cell a=6.267 b=15.087 c=7.191 alpha=90.00 beta=90.00 gamma=90.00
Space group Cmce (No. 64)
Symmetry-distinct sites (fractional):
Th 0.000 0.114 0.089 (multiplicity 8)
Tc 0.000 0.000 0.500 (multiplicity 4)
Tc 0.250 0.232 0.750 (multiplicity 8)
Ge 0.000 0.178 0.484 (multiplicity 8)
Ge 0.250 0.056 0.750 (multiplicity 8)